Here is a relaxed structure of ZnSe from Alexandria. Energies are from PBE-GGA.

a b c (Å): 4.051 4.051 6.649
angles (deg): 90.00 90.00 120.00
Sites, in units of the cell vectors:
Zn 0.333 0.667 0.000
Zn 0.667 0.333 0.500
Se 0.333 0.667 0.625
Se 0.667 0.333 0.125

Computed properties:
mass density = 5.07 g/cm3
formation energy from raw total energies = -0.7080 eV/atom
total magnetization = 0.00 μB/cell